VASP calculation (PBE) on a geometry-optimized CsPI3 structure.

Values from the calculation:
offset from the most stable computed form: 0.074 eV per atom
E_form (uncorrected): -547 meV/atom
SG: Pm-3m, No. 221

a b c (Å): 5.7570 5.7570 5.7570
angles (deg): 90.00 90.00 90.00
With the nearest neighbours (Å) after each atom.
Fractional positions:
1 Cs 0.0000 0.0000 0.0000  12 I 4.07
2 P 0.5000 0.5000 0.5000  6 I 2.88
3 I 0.0000 0.5000 0.5000  2 P 2.88
4 I 0.5000 0.0000 0.5000  2 P 2.88
5 I 0.5000 0.5000 0.0000  2 P 2.88


VASP calculation (PBE) on a geometry-optimized CsPI3 structure.

Values from the calculation:
offset from the most stable computed form: 0.000 eV per atom
E_form (uncorrected): -621 meV/atom
SG: P2_1/c, No. 14

a b c (Å): 6.4356 10.3165 16.3393
angles (deg): 90.00 108.30 90.00
With the nearest neighbours (Å) after each atom.
Fractional positions:
1 Cs 0.1052 0.1118 0.3735  4 I 3.84-4.08, 1 P 4.01
2 Cs 0.1052 0.3882 0.8735  4 I 3.84-4.08, 1 P 4.01
3 Cs 0.8948 0.6118 0.1265  4 I 3.84-4.08, 1 P 4.01
4 Cs 0.8948 0.8882 0.6265  4 I 3.84-4.08, 1 P 4.01
5 P 0.0913 0.0893 0.0283  1 P 2.22
6 P 0.0913 0.4107 0.5283  1 P 2.22
7 P 0.9087 0.5893 0.4717  1 P 2.22
8 P 0.9087 0.9107 0.9717  1 P 2.22
9 I 0.2206 0.6984 0.4368  1 P 2.52
10 I 0.2206 0.8016 0.9368  1 P 2.52
11 I 0.3003 0.5109 0.6717  1 P 2.53
12 I 0.3003 0.9891 0.1717  1 P 2.53
13 I 0.3912 0.0941 0.6189  2 I 3.48-3.62, 3 Cs 3.84-3.87, 1 P 3.85
14 I 0.3912 0.4059 0.1189  2 I 3.48-3.62, 3 Cs 3.84-3.87, 1 P 3.85
15 I 0.6088 0.5941 0.8811  2 I 3.48-3.62, 3 Cs 3.84-3.87, 1 P 3.85
16 I 0.6088 0.9059 0.3811  2 I 3.48-3.62, 3 Cs 3.84-3.87, 1 P 3.85
17 I 0.6997 0.0109 0.8283  1 P 2.53
18 I 0.6997 0.4891 0.3283  1 P 2.53
19 I 0.7794 0.1984 0.0632  1 P 2.52
20 I 0.7794 0.3016 0.5632  1 P 2.52


VASP calculation (PBE) on a geometry-optimized CsP2I4 structure.

Values from the calculation:
E_form (uncorrected): -352 meV/atom
SG: P1, No. 1

a b c (Å): 7.2220 7.2222 13.9018
angles (deg): 101.27 101.28 103.45
With the nearest neighbours (Å) after each atom.
Fractional positions:
1 Cs 0.0000 0.0000 0.0000  4 P 3.89-3.90, 4 I 4.10
2 Cs 0.2502 0.7510 0.5000  4 I 4.04
3 P 0.0276 0.3462 0.8176  1 P 2.12
4 P 0.5268 0.2103 0.1823  1 P 2.12
5 P 0.6536 0.9728 0.1824  1 P 2.12
6 P 0.7901 0.4731 0.8178  1 P 2.12
7 I 0.2643 0.6688 0.8267  1 P 2.51
8 I 0.3312 0.7361 0.1736  1 P 2.51
9 I 0.5186 0.3654 0.3780  1 P 2.75
10 I 0.5628 0.1605 0.8284  1 P 2.51
11 I 0.6350 0.4818 0.6221  1 P 2.75
12 I 0.8392 0.4374 0.1713  1 P 2.51
13 I 0.8579 0.0127 0.3779  1 P 2.75
14 I 0.9877 0.1424 0.6220  1 P 2.75


VASP calculation (PBE) on a geometry-optimized CsPI structure.

Values from the calculation:
E_form (uncorrected): -582 meV/atom
SG: C2/m, No. 12

a b c (Å): 10.4672 10.4672 6.5229
angles (deg): 90.42 90.42 22.51
With the nearest neighbours (Å) after each atom.
Fractional positions:
1 Cs 0.0841 0.0841 0.2535  6 I 3.84-3.92, 3 P 4.01-4.08, 2 Cs 4.09
2 Cs 0.9159 0.9159 0.7465  6 I 3.84-3.92, 3 P 4.01-4.08, 2 Cs 4.09
3 P 0.2696 0.2696 0.4814  2 P 2.21
4 P 0.7304 0.7304 0.5186  2 P 2.21
5 I 0.4211 0.4211 0.2441  1 P 3.49, 4 Cs 3.84-3.86
6 I 0.5789 0.5789 0.7559  1 P 3.49, 4 Cs 3.84-3.86